Density functional theory data (PBE-GGA) for an optimized crystal structure of CaReO2.

```
8
Lattice="-2.017 4.038 -0.250 -3.388 -1.533 2.570 0.164 2.983 5.971" Properties=species:S:1:pos:R:3 pbc="T T T"
O -1.610 3.309 5.126
Ca -2.963 1.351 4.851
Re -2.278 4.136 3.440
O -1.818 3.427 1.636
O -2.154 -0.057 3.090
Ca -2.703 1.252 1.160
Re 0.000 0.000 0.000
O -4.899 4.296 6.731
```

Computed properties:
The value obtained for the magnetization is 0.0 Bohr magnetons per cell. Its excess energy over the best structure of this formula in the dataset is 36.93 kJ/mol of atoms. Its uncorrected formation energy is -1158 meV per atom. The value obtained for the density is 7161 kg/m³. For the volume, the calculation gives 15.0 A^3/atom. Its raw total energy is -7.25 eV per atom.